Entry from Alexandria: FeGe2O6 after structural relaxation (PBE with a Hubbard U).

a b c (Å): 6.7379 6.7379 5.5908
angles (deg): 75.51 75.51 82.18
With the nearest neighbours (Å) after each atom.
Fractional positions:
1 O 0.9690 0.8205 0.1267  1 Ge 1.80
2 O 0.6608 0.6119 0.5460  2 Ge 1.76
3 O 0.3881 0.3392 0.9540  2 Ge 1.76
4 O 0.9298 0.3735 0.2486  1 Ge 1.76, 1 Fe 1.92
5 Ge 0.2035 0.3817 0.7691  4 O 1.76-1.80
6 O 0.6265 0.0702 0.2514  1 Ge 1.76, 1 Fe 1.92
7 O 0.6119 0.6608 0.0460  2 Ge 1.76
8 O 0.8205 0.9690 0.6267  1 Ge 1.80
9 O 0.0702 0.6265 0.7514  1 Ge 1.76, 1 Fe 1.92
10 Fe 0.9071 0.0929 0.2500  6 O 1.92-2.07
11 Ge 0.6183 0.7965 0.7309  4 O 1.76-1.80
12 O 0.0310 0.1795 0.8733  1 Ge 1.80
13 Ge 0.3817 0.2035 0.2691  4 O 1.76-1.80
14 Fe 0.0929 0.9071 0.7500  6 O 1.92-2.07
15 O 0.1795 0.0310 0.3733  1 Ge 1.80
16 O 0.3735 0.9298 0.7486  1 Ge 1.76, 1 Fe 1.92
17 O 0.3392 0.3881 0.4540  2 Ge 1.76
18 Ge 0.7965 0.6183 0.2309  4 O 1.76-1.80

Results
D(E_F)	4.60	states/eV/f.u.
VASP energy	-6.303	eV/atom
symmetry	C2/c, No. 15
volume	237	Å³ per cell